The following is a DFT calculation (PBE-GGA) of a geometry-optimized AuS6I structure.

Values from the calculation:
Uncorrected energy ... -22.4 eV per formula unit
Density ... 4.8 g/cm3

Cell and atoms, written as POSCAR:
```
AuS6I
1.0
0.000 4.464 4.464
4.464 0.000 4.464
4.464 4.464 0.000
Au S I
1 6 1
Direct
0.000 0.000 0.000
0.294 0.294 0.706
0.294 0.706 0.294
0.294 0.706 0.706
0.706 0.294 0.294
0.706 0.294 0.706
0.706 0.706 0.294
0.250 0.250 0.250
```

=====

The following is a DFT calculation (PBE-GGA) of a geometry-optimized AuSI6 structure.

Values from the calculation:
Uncorrected energy ... -12.5 eV per formula unit
Density ... 5.4 g/cm3

Cell and atoms, written as POSCAR:
```
AuSI6
1.0
0.000 5.347 5.347
5.347 0.000 5.347
5.347 5.347 0.000
Au S I
1 1 6
Direct
0.000 0.000 0.000
0.250 0.250 0.250
0.259 0.259 0.741
0.259 0.741 0.259
0.259 0.741 0.741
0.741 0.259 0.259
0.741 0.259 0.741
0.741 0.741 0.259
```

=====

Which formula does entry 1 have?
AuS6I

=====

Which value of density does entry 1 give?
4.8 g/cm3

=====

Look up the density of the second one.
5.4 g/cm3